1.
Density functional theory data (PBE-GGA) for Pm7NdGa4 after structural relaxation.

a b c (Å): 13.8849 5.6378 10.5217
angles (deg): 90.00 124.01 90.00
Space group C2/m (No. 12)
Asymmetric unit:
Pm1 0.0000 0.0000 0.0000 [2 per cell]
Pm2 0.0652 0.5000 0.3881 [4 per cell]
Pm3 0.2038 0.0000 0.6428 [4 per cell]
Pm4 0.2058 0.5000 0.8789 [4 per cell]
Nd1 0.0000 0.5000 0.0000 [2 per cell]
Ga1 0.0527 0.0000 0.7568 [4 per cell]
Ga2 0.1798 0.0000 0.3306 [4 per cell]

## Properties
Theoretical density in kg/m³: 6995
E_tot in eV/cell: -105.2
ΔE_f in eV per formula unit: -2.5
Calculated volume in Å³ per cell: 682.8
Total magnetic moment in μB/f.u.: 0.308

---

2.
Density functional theory data (PBE-GGA) for CdBr2Cl after structural relaxation.

a b c (Å): 3.8561 6.4323 11.0927
angles (deg): 90.00 90.00 90.00
Space group Cmm2 (No. 35)
Asymmetric unit:
Cd1 0.0000 0.0000 0.0000 [2 per cell]
Br1 0.0000 0.0000 0.4897 [2 per cell]
Br2 0.0000 0.5000 0.8306 [2 per cell]
Cl1 0.0000 0.5000 0.1513 [2 per cell]

## Properties
ΔE_f (raw) in eV per atom: -0.35
Theoretical density in kg/m³: 3714
E_tot in eV/cell: -15.0
Calculated volume in Å³ per cell: 275.1
Total magnetic moment in μB/f.u.: 0.974
Energy above the lowest structure with this stoichiometry in eV per atom: 0.214

---

3.
Density functional theory data (PBE-GGA) for Ga2IrPd after structural relaxation.

a b c (Å): 2.9324 2.9324 6.8516
angles (deg): 90.00 90.00 90.00
Space group P4/mmm (No. 123)
Asymmetric unit:
Ga1 0.0000 0.0000 0.2414 [2 per cell]
Ir1 0.5000 0.5000 0.0000 [1 per cell]
Pd1 0.5000 0.5000 0.5000 [1 per cell]

## Properties
Theoretical density in kg/m³: 12347
E_tot in eV/cell: -22.1
ΔE_f in eV per formula unit: -2.0
Calculated volume in Å³ per cell: 58.9
Total magnetic moment in μB/f.u.: 0.000

---

4.
Density functional theory data (PBE-GGA) for NaTl2PdF6 after structural relaxation.

a b c (Å): 6.2522 6.2522 30.7657
angles (deg): 90.00 90.00 120.00
Space group R-3m (No. 166, hexagonal axes)
Asymmetric unit:
Na1 0.0000 0.0000 0.0958 [6 per cell]
Tl1 0.0000 0.0000 0.2293 [6 per cell]
Tl2 0.0000 0.0000 0.3643 [6 per cell]
Pd1 0.0000 0.0000 0.0000 [3 per cell]
Pd2 0.0000 0.0000 0.5000 [3 per cell]
F1 0.0150 0.5075 0.6244 [18 per cell]
F2 0.0362 0.5181 0.2044 [18 per cell]

## Properties
ΔE_f (raw) in eV per atom: -1.80
Theoretical density in kg/m³: 6239
E_tot in eV/cell: -243.0
Calculated volume in Å³ per cell: 1041.5
Total magnetic moment in μB/f.u.: 1.035

---

5.
Density functional theory data (PBE-GGA) for Sr2MnIr after structural relaxation.

a b c (Å): 3.5592 3.8526 7.8514
angles (deg): 90.00 90.00 90.00
Space group Pmmm (No. 47)
Asymmetric unit:
Sr1 0.0000 0.0000 0.2171 [2 per cell]
Mn1 0.5000 0.5000 0.5000 [1 per cell]
Ir1 0.5000 0.5000 0.0000 [1 per cell]

## Properties
Theoretical density in kg/m³: 6515
E_tot in eV/cell: -19.9
ΔE_f in eV per formula unit: 1.5
Calculated volume in Å³ per cell: 107.7
Total magnetic moment in μB/f.u.: 4.249
Energy above the lowest structure with this stoichiometry in eV per atom: 0.347

---

6.
Density functional theory data (PBE-GGA) for MnFeP2 after structural relaxation.

a b c (Å): 2.7578 3.7347 8.9413
angles (deg): 90.00 90.00 90.00
Space group Imm2 (No. 44)
Asymmetric unit:
Mn1 0.0000 0.0000 0.0000 [2 per cell]
Fe1 0.0000 0.5000 0.2133 [2 per cell]
P1 0.0000 0.0000 0.5057 [2 per cell]
P2 0.0000 0.5000 0.7220 [2 per cell]

## Properties
Theoretical density in kg/m³: 6229
E_tot in eV/cell: -57.8
ΔE_f in eV per formula unit: -0.5
Calculated volume in Å³ per cell: 92.1
Total magnetic moment in μB/f.u.: 0.980
Energy above the lowest structure with this stoichiometry in eV per atom: 0.476

---

7.
Density functional theory data (PBE-GGA) for ScIn2Cu after structural relaxation.

a b c (Å): 4.2321 4.2321 20.2766
angles (deg): 90.00 90.00 90.00
Space group I-42d (No. 122)
Asymmetric unit:
Sc1 0.0000 0.0000 0.0000 [4 per cell]
In1 0.2384 0.2500 0.6250 [8 per cell]
Cu1 0.0000 0.0000 0.5000 [4 per cell]

## Properties
Theoretical density in kg/m³: 6184
E_tot in eV/cell: -62.3
ΔE_f in eV per formula unit: 0.3
Calculated volume in Å³ per cell: 363.2
Total magnetic moment in μB/f.u.: 0.000

---

8.
Density functional theory data (PBE-GGA) for CsNaSbIr2 after structural relaxation.

a b c (Å): 5.0331 5.0331 5.1233
angles (deg): 90.00 90.00 90.00
Space group P4/mmm (No. 123)
Asymmetric unit:
Cs1 0.0000 0.0000 0.0000 [1 per cell]
Na1 0.0000 0.0000 0.5000 [1 per cell]
Sb1 0.5000 0.5000 0.0000 [1 per cell]
Ir1 0.0000 0.5000 0.5000 [2 per cell]

## Properties
ΔE_f (raw) in eV per atom: 1.73
Theoretical density in kg/m³: 8471
E_tot in eV/cell: -15.3
Calculated volume in Å³ per cell: 129.8
Total magnetic moment in μB/f.u.: 0.000

---

9.
Density functional theory data (PBE-GGA) for Na2TaTlF after structural relaxation.

a b c (Å): 4.3087 4.3087 5.1354
angles (deg): 90.00 90.00 90.00
Space group P4/mmm (No. 123)
Asymmetric unit:
Na1 0.0000 0.5000 0.0000 [2 per cell]
Ta1 0.0000 0.0000 0.5000 [1 per cell]
Tl1 0.5000 0.5000 0.5000 [1 per cell]
F1 0.0000 0.0000 0.0000 [1 per cell]

## Properties
ΔE_f (raw) in eV per atom: -0.29
Theoretical density in kg/m³: 7843
E_tot in eV/cell: -20.2
Calculated volume in Å³ per cell: 95.3
Total magnetic moment in μB/f.u.: 1.160
Energy above the lowest structure with this stoichiometry in eV per atom: 0.000

---

10.
Density functional theory data (PBE-GGA) for SrTbGd2 after structural relaxation.

a b c (Å): 3.6882 3.6882 10.6687
angles (deg): 90.00 90.00 90.00
Space group P4/mmm (No. 123)
Asymmetric unit:
Sr1 0.0000 0.0000 0.0000 [1 per cell]
Tb1 0.0000 0.0000 0.5000 [1 per cell]
Gd1 0.5000 0.5000 0.2790 [2 per cell]

## Properties
Theoretical density in kg/m³: 6420
E_tot in eV/cell: -34.1
ΔE_f in eV per formula unit: 0.4
Calculated volume in Å³ per cell: 145.1
Total magnetic moment in μB/f.u.: 15.279
Energy above the lowest structure with this stoichiometry in eV per atom: 0.000

---

11.
Density functional theory data (PBE-GGA) for CsCd2Ga2 after structural relaxation.

a b c (Å): 4.9157 4.9157 12.4197
angles (deg): 90.00 90.00 90.00
Space group I4/mmm (No. 139)
Asymmetric unit:
Cs1 0.0000 0.0000 0.0000 [2 per cell]
Cd1 0.0000 0.0000 0.3686 [4 per cell]
Ga1 0.0000 0.5000 0.2500 [4 per cell]

## Properties
Theoretical density in kg/m³: 5502
E_tot in eV/cell: -17.3
ΔE_f in eV per formula unit: 0.1
Calculated volume in Å³ per cell: 300.1
Total magnetic moment in μB/f.u.: 0.000
Energy above the lowest structure with this stoichiometry in eV per atom: 0.031

---

12.
Density functional theory data (PBE-GGA) for CeErNi2P2 after structural relaxation.

a b c (Å): 3.9133 3.9133 7.7440
angles (deg): 90.00 90.00 120.00
Space group P-3m1 (No. 164)
Asymmetric unit:
Ce1 0.0000 0.0000 0.0000 [1 per cell]
Er1 0.0000 0.0000 0.5000 [1 per cell]
Ni1 0.3333 0.6667 0.7538 [2 per cell]
P1 0.3333 0.6667 0.2609 [2 per cell]

## Properties
Theoretical density in kg/m³: 7869
E_tot in eV/cell: -40.1
ΔE_f in eV per formula unit: -7.2
Calculated volume in Å³ per cell: 102.7
Total magnetic moment in μB/f.u.: 0.559

---

Q: Number 4 is which compound?
A: NaTl2PdF6